# 1
A relaxed structure of RuWAu. Source: Alexandria via LeMat-Bulk, functional PBE.

```
3
Lattice="2.8190 0.0000 0.0000 -1.4095 2.4413 0.0000 0.0000 0.0000 6.9905" Properties=species:S:1:pos:R:3 pbc="T T T"
Ru 0.0000 0.0000 0.0000
W 1.4095 0.8138 2.0838
Au 0.0000 1.6275 4.5469
```

## Properties
E above lowest polymorph = 0.016 eV per atom
ΔH_f (0 K) = 0.215 eV/atom
V = 16.04 Å³/atom

***

# 2
A relaxed structure of Pu2ZnNi9. Source: Alexandria via LeMat-Bulk, functional PBE.

```
12
Lattice="2.4255 1.4004 8.1086 -2.4255 1.4004 8.1086 0.0000 -2.8007 8.1086" Properties=species:S:1:pos:R:3 pbc="T T T"
Pu 0.0000 0.0000 3.3576
Pu 0.0000 0.0000 20.9681
Zn 0.0000 0.0000 0.0000
Ni -1.2159 -0.7020 10.0863
Ni 0.0000 0.0000 8.0985
Ni 0.0000 -1.4040 14.2394
Ni -1.2159 0.7020 14.2394
Ni 0.0000 0.0000 12.1629
Ni 1.2159 -0.7020 10.0864
Ni 0.0000 1.4040 10.0864
Ni 0.0000 0.0000 16.2273
Ni 1.2159 0.7020 14.2394
```

## Properties
ΔH_f (0 K) = -0.100 eV/atom
V = 13.77 Å³/atom

***

# 3
A relaxed structure of LaNi2Mo. Source: Alexandria via LeMat-Bulk, functional PBE.

```
4
Lattice="3.1390 0.0000 0.0000 0.0000 3.1390 0.0000 0.0000 0.0000 6.9673" Properties=species:S:1:pos:R:3 pbc="T T T"
La 0.0000 0.0000 0.0000
Ni 0.0000 0.0000 3.6751
Ni 1.5695 1.5695 4.9154
Mo 1.5695 1.5695 2.4462
```

## Properties
E above lowest polymorph = 0.277 eV per atom
ΔH_f (0 K) = 0.218 eV/atom
V = 17.16 Å³/atom

***

# 4
A relaxed structure of CdMoIr3. Source: Alexandria via LeMat-Bulk, functional PBE.

```
5
Lattice="4.7450 0.0000 0.0000 0.0000 4.7450 0.0000 0.0000 0.0000 4.7450" Properties=species:S:1:pos:R:3 pbc="T T T"
Cd 0.0000 0.0000 0.0000
Mo 2.3725 2.3725 2.3725
Ir 0.0000 2.3725 2.3725
Ir 2.3725 0.0000 2.3725
Ir 2.3725 2.3725 0.0000
```

## Properties
ΔH_f (0 K) = 1.393 eV/atom
V = 21.37 Å³/atom

***

# 5
A relaxed structure of BaNiBr2. Source: Alexandria via LeMat-Bulk, functional PBE.

```
4
Lattice="-2.0032 2.9767 4.4590 2.0032 -2.9767 4.4590 2.0032 2.9767 -4.4590" Properties=species:S:1:pos:R:3 pbc="T T T"
Ba 0.0000 0.0000 0.0000
Ni 0.0000 0.0000 4.4590
Br 2.0032 0.0000 2.8239
Br 0.0000 2.9767 1.6351
```

## Properties
Formation energy (no corrections) = -80.3 kJ/mol of atoms
E above lowest polymorph = 0.208 eV per atom
V = 26.59 Å³/atom

***

# 6
A relaxed structure of InCu2Cl. Source: Alexandria via LeMat-Bulk, functional PBE.

```
4
Lattice="2.8600 -4.6672 0.0000 2.8600 4.6672 0.0000 -1.9315 0.0000 2.7846" Properties=species:S:1:pos:R:3 pbc="T T T"
In 0.0000 0.0000 0.0000
Cu 1.4300 2.3336 0.0000
Cu 1.4300 -2.3336 0.0000
Cl 2.8600 0.0000 0.0000
```

## Properties
Formation energy (no corrections) = 16.1 kJ/mol of atoms
E above lowest polymorph = 0.263 eV per atom
V = 18.58 Å³/atom

***

Number 3 is which compound?
LaNi2Mo

***

Which formula does entry 6 have?
InCu2Cl

***

Among the records above, which one has the lowest V?
Pu2ZnNi9

***

Which formula does entry 2 have?
Pu2ZnNi9